[1]
{
  "formula": "Y2Be2Cl",
  "functional": "GGA-PBEsol",
  "state": "relaxed",
  "cell": [[3.264, 0.000, 0.000], [0.000, 3.264, 0.000], [0.000, 0.000, 17.098]],
  "species": ["Y", "Y", "Y", "Y", "Be", "Be", "Be", "Be", "Cl", "Cl"],
  "fractional_positions": [[0.000, 0.000, 0.111], [0.000, 0.000, 0.889], [0.500, 0.500, 0.389], [0.500, 0.500, 0.611], [0.000, 0.500, 0.250], [0.000, 0.500, 0.750], [0.500, 0.000, 0.250], [0.500, 0.000, 0.750], [0.000, 0.000, 0.500], [0.500, 0.500, 0.000]],
  "m_tot_mub_per_cell": 0.00,
  "raw_formation_energy_ev_per_atom": -0.088
}

***

[2]
{
  "formula": "Y2BeCl",
  "functional": "GGA-PBEsol",
  "state": "relaxed",
  "cell": [[3.280, 0.000, 0.000], [0.000, 3.280, 0.000], [0.000, 0.000, 7.594]],
  "species": ["Y", "Y", "Be", "Cl"],
  "fractional_positions": [[0.000, 0.000, 0.220], [0.000, 0.000, 0.780], [0.500, 0.500, 0.000], [0.500, 0.500, 0.500]],
  "m_tot_mub_per_cell": 0.00,
  "raw_formation_energy_ev_per_atom": -0.546,
  "polymorph_energy_ev_per_atom": 0.119
}

***

[3]
{
  "formula": "YBeCl2",
  "functional": "GGA-PBEsol",
  "state": "relaxed",
  "cell": [[3.649, 0.000, 0.000], [0.000, 5.909, 0.000], [0.000, 0.000, 8.271]],
  "species": ["Y", "Y", "Be", "Be", "Cl", "Cl", "Cl", "Cl"],
  "fractional_positions": [[0.000, 0.000, 0.000], [0.500, 0.500, 0.000], [0.000, 0.500, 0.761], [0.500, 0.000, 0.761], [0.000, 0.000, 0.630], [0.000, 0.500, 0.233], [0.500, 0.000, 0.233], [0.500, 0.500, 0.630]],
  "m_tot_mub_per_cell": 0.00,
  "raw_formation_energy_ev_per_atom": -0.924
}

***

[4]
{
  "formula": "YBe2Cl",
  "functional": "GGA-PBEsol",
  "state": "relaxed",
  "cell": [[3.621, 0.000, 0.000], [0.000, 3.621, 0.000], [0.000, 0.000, 5.282]],
  "species": ["Y", "Be", "Be", "Cl"],
  "fractional_positions": [[0.000, 0.000, 0.000], [0.000, 0.500, 0.500], [0.500, 0.000, 0.500], [0.500, 0.500, 0.000]],
  "m_tot_mub_per_cell": 0.00,
  "raw_formation_energy_ev_per_atom": 0.080,
  "polymorph_energy_ev_per_atom": 0.000
}

***

[5]
{
  "formula": "BeZnCl3",
  "functional": "GGA-PBEsol",
  "state": "relaxed",
  "cell": [[4.752, 0.000, 0.000], [0.000, 4.752, 0.000], [0.000, 0.000, 4.752]],
  "species": ["Be", "Zn", "Cl", "Cl", "Cl"],
  "fractional_positions": [[0.000, 0.000, 0.000], [0.500, 0.500, 0.500], [0.000, 0.500, 0.500], [0.500, 0.000, 0.500], [0.500, 0.500, 0.000]],
  "m_tot_mub_per_cell": 0.95,
  "raw_formation_energy_ev_per_atom": -0.111
}

***

[6]
{
  "formula": "Zr2BeCl",
  "functional": "GGA-PBEsol",
  "state": "relaxed",
  "cell": [[3.177, 0.000, 0.000], [0.000, 4.129, 0.000], [0.000, 0.000, 5.092]],
  "species": ["Zr", "Zr", "Be", "Cl"],
  "fractional_positions": [[0.000, 0.000, 0.000], [0.500, 0.500, 0.500], [0.000, 0.000, 0.500], [0.500, 0.500, 0.000]],
  "m_tot_mub_per_cell": 0.00,
  "raw_formation_energy_ev_per_atom": -0.442,
  "polymorph_energy_ev_per_atom": 0.000
}

***

[7]
{
  "formula": "ZrBeCl3",
  "functional": "GGA-PBEsol",
  "state": "relaxed",
  "cell": [[4.426, 0.000, 0.000], [0.000, 4.426, 0.000], [0.000, 0.000, 4.426]],
  "species": ["Zr", "Be", "Cl", "Cl", "Cl"],
  "fractional_positions": [[0.000, 0.000, 0.000], [0.500, 0.500, 0.500], [0.000, 0.500, 0.500], [0.500, 0.000, 0.500], [0.500, 0.500, 0.000]],
  "m_tot_mub_per_cell": 2.61,
  "raw_formation_energy_ev_per_atom": -0.322
}

***

[8]
{
  "formula": "Zr2BeCl",
  "functional": "GGA-PBEsol",
  "state": "relaxed",
  "cell": [[4.700, 0.000, 0.000], [0.000, 4.700, 0.000], [0.000, 0.000, 2.973]],
  "species": ["Zr", "Zr", "Be", "Cl"],
  "fractional_positions": [[0.000, 0.500, 0.000], [0.500, 0.000, 0.000], [0.000, 0.000, 0.500], [0.500, 0.500, 0.500]],
  "m_tot_mub_per_cell": 0.00,
  "raw_formation_energy_ev_per_atom": -0.176,
  "polymorph_energy_ev_per_atom": 0.266
}